1.
A relaxed structure of ZnPb. Source: Alexandria via LeMat-Bulk, functional PBEsol.

```
ZnPb
1.0
-2.121 -1.604 -2.154
2.236 0.465 -2.548
3.336 -6.698 1.704
Pb Zn
2 2
Cartesian
1.678 -6.300 0.322
1.716 -0.967 -0.969
3.038 -3.622 -0.294
0.356 -3.646 -0.353
```



2.
A relaxed structure of Zr5ZnPb3. Source: Alexandria via LeMat-Bulk, functional PBEsol.

```
Zr5ZnPb3
1.0
5.876 0.000 0.000
0.000 8.680 0.000
0.000 -4.340 7.517
Zr Zn Pb
10 2 6
Cartesian
4.407 -1.147 1.987
0.000 0.000 5.011
4.407 2.294 0.000
1.469 6.385 0.000
0.000 4.340 2.506
2.938 0.000 5.011
2.938 4.340 2.506
1.469 1.147 1.987
1.469 -3.193 5.530
4.407 3.193 5.530
0.000 0.000 0.000
2.938 0.000 0.000
1.469 2.669 4.623
1.469 -1.671 2.894
4.407 -2.669 4.623
1.469 3.342 0.000
4.407 1.671 2.894
4.407 5.338 0.000
```



3.
A relaxed structure of ZrZnPb2. Source: Alexandria via LeMat-Bulk, functional PBEsol.

```
ZrZnPb2
1.0
-2.107 0.892 2.468
0.266 -1.426 3.037
5.319 6.542 4.472
Zr Pb Zn
1 2 1
Cartesian
0.000 0.000 0.000
0.954 1.598 2.532
2.524 4.409 7.445
1.739 3.004 4.988
```



4.
A relaxed structure of Zr2ZnPb. Source: Alexandria via LeMat-Bulk, functional PBEsol.

```
Zr2ZnPb
1.0
-1.957 -2.161 -1.128
1.585 -2.227 1.517
-4.926 1.004 6.620
Zr Pb Zn
2 1 1
Cartesian
-1.392 0.284 1.871
-3.534 0.720 4.749
-0.186 -2.194 0.195
-2.649 -1.692 3.505
```



Number 1: energy of formation from the pure elements 0.22 eV/f.u.. Number 2: energy of formation from the pure elements -3.61 eV/f.u.. Number 3: energy of formation from the pure elements 0.20 eV/f.u.. Number 4: energy of formation from the pure elements -0.83 eV/f.u..